! LiCoAs2O8 PBE+U optimized geometry; values from VASP
&SYSTEM
  ibrav = 0, nat = 12, ntyp = 4
/
ATOMIC_SPECIES
Li 6.94 Li.upf
Co 58.93 Co.upf
As 74.92 As.upf
O 16.00 O.upf
CELL_PARAMETERS angstrom
4.937 0.000 0.000
-2.469 4.276 0.000
0.000 0.000 6.880
ATOMIC_POSITIONS crystal
Li 0.000 0.000 0.000
Co 0.000 0.000 0.500
As 0.333 0.667 0.274
As 0.667 0.333 0.726
O 0.012 0.703 0.336
O 0.297 0.309 0.336
O 0.309 0.012 0.664
O 0.333 0.667 0.023
O 0.667 0.333 0.977
O 0.691 0.988 0.336
O 0.703 0.691 0.664
O 0.988 0.297 0.664
! - DOS at the Fermi energy: 5.58 states/eV per cell
! - Uncorrected energy: -5.5739 eV per atom
! - M_tot: 2.0 μB per formula unit